Entry 1:
Here is crystalline IrSe3 at its relaxed geometry from the Alexandria database. Energies are from PBE.

Cell: 7.3013 7.3013 7.3013 Å, 139.96 139.96 57.91°
Last column: nearest neighbours and their distance in Å.
Fractional positions:
Ir  0.1032  0.1032  0.0000  5 Se 2.62-2.83, 1 Ir 2.64
Ir  0.8968  0.8968  0.0000  5 Se 2.62-2.83, 1 Ir 2.64
Se  0.0000  0.5000  0.5000  4 Ir 2.83
Se  0.2500  0.7500  0.5000  4 Se 2.61
Se  0.3080  0.3080  0.0000  4 Se 2.61, 1 Ir 2.62
Se  0.5000  0.0000  0.5000  4 Ir 2.83
Se  0.6920  0.6920  0.0000  4 Se 2.61, 1 Ir 2.62
Se  0.7500  0.2500  0.5000  4 Se 2.61

Summary:
energy relative to the lowest polymorph listed for this composition = 843.9 meV per atom
N(E_F) = 6.56 states/eV per cell
formation energy from raw total energies = 2.66 eV per formula unit

---

Entry 2:
Here is crystalline Ca2HRh at its relaxed geometry from the Alexandria database. Energies are from PBE.

Cell: 4.7857 4.7857 4.7857 Å, 60.00 60.00 60.00°
Last column: nearest neighbours and their distance in Å.
Fractional positions:
Ca  0.2500  0.2500  0.2500  4 Rh 2.93, 4 H 2.93
Ca  0.7500  0.7500  0.7500  4 Rh 2.93, 4 H 2.93
H  0.0000  0.0000  0.0000  8 Ca 2.93
Rh  0.5000  0.5000  0.5000  8 Ca 2.93

Summary:
energy relative to the lowest polymorph listed for this composition = 180.5 meV per atom
N(E_F) = 0.38 states/eV per cell

---

Entry 3:
Here is crystalline Ac2Sn2Pt5 at its relaxed geometry from the Alexandria database. Energies are from PBE.

Cell: 6.7998 6.7998 9.0642 Å, 115.02 115.02 37.09°
Last column: nearest neighbours and their distance in Å.
Fractional positions:
Ac  0.1405  0.1405  0.2786  7 Pt 3.03-3.25
Ac  0.8595  0.8595  0.7214  7 Pt 3.03-3.25
Sn  0.3911  0.3911  0.2074  6 Pt 2.70-2.80
Sn  0.6089  0.6089  0.7926  6 Pt 2.70-2.80
Pt  0.2493  0.2493  0.8800  3 Sn 2.70, 1 Pt 2.91
Pt  0.4004  0.4004  0.5191  2 Sn 2.73-2.77, 1 Pt 2.74, 2 Ac 3.03
Pt  0.5000  0.5000  0.0000  2 Sn 2.80, 2 Pt 2.91
Pt  0.5996  0.5996  0.4809  2 Sn 2.73-2.77, 1 Pt 2.74, 2 Ac 3.03
Pt  0.7507  0.7507  0.1200  3 Sn 2.70, 1 Pt 2.91

Summary:
energy relative to the lowest polymorph listed for this composition = 105.2 meV per atom
N(E_F) = 3.71 states/eV per cell
ΔH_f (0 K) = -0.687 eV/atom

---

Entry 4:
Here is crystalline ReHg2As at its relaxed geometry from the Alexandria database. Energies are from PBE.

Cell: 10.2336 10.2336 10.2336 Å, 16.71 16.71 16.71°
Last column: nearest neighbours and their distance in Å.
Fractional positions:
Re  0.0000  0.0000  0.0000  6 Hg 2.95, 6 Re 2.97
Hg  0.2542  0.2542  0.2542  3 Re 2.95, 6 Hg 2.97, 3 As 3.16
Hg  0.7458  0.7458  0.7458  3 Re 2.95, 6 Hg 2.97, 3 As 3.16
As  0.5000  0.5000  0.5000  6 As 2.97, 6 Hg 3.16

Summary:
N(E_F) = 3.59 states/eV per cell
ΔH_f (0 K) = 0.786 eV/atom

---

Entry 5:
Here is crystalline BaCuH4 at its relaxed geometry from the Alexandria database. Energies are from PBE.

Cell: 4.9349 4.9349 4.2820 Å, 115.43 115.43 65.38°
Last column: nearest neighbours and their distance in Å.
Fractional positions:
Ba  0.0000  0.0000  0.0000  12 H 2.72-2.85
Cu  0.5000  0.5000  0.5000  4 H 1.59
H  0.1310  0.5606  0.3474  1 Cu 1.59
H  0.4394  0.8690  0.6526  1 Cu 1.59
H  0.5606  0.1310  0.3474  1 Cu 1.59
H  0.8690  0.4394  0.6526  1 Cu 1.59

Summary:
raw total energy = -3.396 eV per atom
N(E_F) = 1.68 states/eV per cell

---

Entry 6:
Here is crystalline Cs2HgSe2 at its relaxed geometry from the Alexandria database. Energies are from PBE.

Cell: 9.1654 9.1654 5.0075 Å, 90.00 90.00 90.00°
Last column: nearest neighbours and their distance in Å.
Fractional positions:
Cs  0.1831  0.3169  0.0000  6 Se 3.66-3.83
Cs  0.3169  0.8169  0.0000  6 Se 3.66-3.83
Cs  0.6831  0.1831  0.0000  6 Se 3.66-3.83
Cs  0.8169  0.6831  0.0000  6 Se 3.66-3.83
Hg  0.0000  0.0000  0.5000  4 Se 3.82, 8 Cs 4.19
Hg  0.5000  0.5000  0.5000  4 Se 3.82, 8 Cs 4.19
Se  0.0934  0.5934  0.5000  1 Se 2.42
Se  0.4066  0.0934  0.5000  1 Se 2.42
Se  0.5934  0.9066  0.5000  1 Se 2.42
Se  0.9066  0.4066  0.5000  1 Se 2.42

Summary:
energy relative to the lowest polymorph listed for this composition = 138.5 meV per atom
N(E_F) = 0.00 states/eV per cell
formation energy from raw total energies = -3.80 eV per formula unit

---

Entry 7:
Here is crystalline Ba2InSi2 at its relaxed geometry from the Alexandria database. Energies are from PBE.

Cell: 11.2404 11.2404 11.2404 Å, 161.02 161.02 26.97°
Last column: nearest neighbours and their distance in Å.
Fractional positions:
Ba  0.1174  0.1174  0.0000  4 Si 3.44, 4 In 3.67, 4 Ba 3.71
Ba  0.8826  0.8826  0.0000  4 Si 3.44, 4 In 3.67, 4 Ba 3.71
In  0.5000  0.5000  0.0000  8 Ba 3.67, 4 In 3.71
Si  0.2500  0.7500  0.5000  4 Si 2.62
Si  0.7500  0.2500  0.5000  4 Si 2.62

Summary:
N(E_F) = 3.48 states/eV per cell
formation energy from raw total energies = -0.50 eV per formula unit

---

Entry 8:
Here is crystalline HoHg2I6 at its relaxed geometry from the Alexandria database. Energies are from PBE.

Cell: 10.9543 10.9543 8.2659 Å, 103.14 103.14 86.27°
Last column: nearest neighbours and their distance in Å.
Fractional positions:
Ho  0.0683  0.9317  0.7500  6 I 3.03-3.08
Ho  0.9317  0.0683  0.2500  6 I 3.03-3.08
Hg  0.2988  0.5204  0.8478  3 I 2.87-2.97
Hg  0.4796  0.7012  0.6522  3 I 2.87-2.97
Hg  0.5204  0.2988  0.3478  3 I 2.87-2.97
Hg  0.7012  0.4796  0.1522  3 I 2.87-2.97
I  0.0399  0.1789  0.6293  2 Ho 3.07-3.08
I  0.0727  0.6740  0.8280  1 Hg 2.90, 1 Ho 3.03
I  0.1789  0.0399  0.1293  2 Ho 3.07-3.08
I  0.3214  0.4331  0.4879  2 Hg 2.87-2.97
I  0.3260  0.9273  0.6720  1 Hg 2.90, 1 Ho 3.03
I  0.4331  0.3214  0.9879  2 Hg 2.87-2.97
I  0.5669  0.6786  0.0121  2 Hg 2.87-2.97
I  0.6740  0.0727  0.3280  1 Hg 2.90, 1 Ho 3.03
I  0.6786  0.5669  0.5121  2 Hg 2.87-2.97
I  0.8211  0.9601  0.8707  2 Ho 3.07-3.08
I  0.9273  0.3260  0.1720  1 Hg 2.90, 1 Ho 3.03
I  0.9601  0.8211  0.3707  2 Ho 3.07-3.08

Summary:
N(E_F) = 8.01 states/eV per cell
formation energy from raw total energies = -5.87 eV per formula unit

---

Entry 9:
Here is crystalline TmHfOsRh at its relaxed geometry from the Alexandria database. Energies are from PBE.

Cell: 3.3153 3.3153 6.6270 Å, 90.00 90.00 90.00°
Last column: nearest neighbours and their distance in Å.
Fractional positions:
Tm  0.0000  0.0000  0.0000  4 Rh 2.93, 4 Os 2.94
Hf  0.0000  0.0000  0.5030  4 Os 2.79, 4 Rh 2.83
Os  0.5000  0.5000  0.7321  4 Hf 2.79, 4 Tm 2.94, 1 Rh 3.10
Rh  0.5000  0.5000  0.2646  4 Hf 2.83, 4 Tm 2.93, 1 Os 3.10

Summary:
energy relative to the lowest polymorph listed for this composition = 0.0 meV per atom
N(E_F) = 1.27 states/eV per cell
ΔH_f (0 K) = -0.751 eV/atom

---

Entry 10:
Here is crystalline AlCr2Ru at its relaxed geometry from the Alexandria database. Energies are from PBE.

Cell: 3.0185 4.0125 4.3660 Å, 90.00 90.00 90.00°
Last column: nearest neighbours and their distance in Å.
Fractional positions:
Al  0.0000  0.0000  0.0000  4 Ru 2.51, 4 Cr 2.65
Cr  0.0000  0.5000  0.5000  4 Cr 2.51, 4 Ru 2.65
Cr  0.5000  0.0000  0.5000  4 Cr 2.51, 4 Al 2.65
Ru  0.5000  0.5000  0.0000  4 Al 2.51, 4 Cr 2.65

Summary:
N(E_F) = 2.67 states/eV per cell
ΔH_f (0 K) = -0.187 eV/atom

---

Entry 11:
Here is crystalline Ag4Te3 at its relaxed geometry from the Alexandria database. Energies are from PBE.

Cell: 12.2191 12.2191 12.2191 Å, 161.77 161.77 25.89°
Last column: nearest neighbours and their distance in Å.
Fractional positions:
Ag  0.0601  0.0601  0.0000  5 Te 2.76-3.09, 1 Ag 2.86
Ag  0.3691  0.3691  0.0000  5 Te 2.94-3.12, 4 Ag 3.22
Ag  0.6309  0.6309  0.0000  5 Te 2.94-3.12, 4 Ag 3.22
Ag  0.9399  0.9399  0.0000  5 Te 2.76-3.09, 1 Ag 2.86
Te  0.1761  0.1761  0.0000  5 Ag 2.76-2.94
Te  0.5000  0.5000  0.0000  10 Ag 3.09-3.12
Te  0.8240  0.8240  0.0000  5 Ag 2.76-2.94

Summary:
energy relative to the lowest polymorph listed for this composition = 10.1 meV per atom
N(E_F) = 2.47 states/eV per cell
formation energy from raw total energies = 0.29 eV per formula unit

---

Entry 12:
Here is crystalline CsUBiO6 at its relaxed geometry from the Alexandria database. Energies are from PBE.

Cell: 7.9315 7.9315 7.9315 Å, 121.57 118.88 89.63°
Last column: nearest neighbours and their distance in Å.
Fractional positions:
Cs  0.3655  0.1155  0.2500  5 O 3.21-3.48
Cs  0.6345  0.8845  0.7500  5 O 3.21-3.48
U  0.0000  0.5000  0.5000  6 O 2.06-2.12
U  0.5000  0.5000  0.0000  6 O 2.06-2.12
Bi  0.0000  0.0000  0.5000  6 O 2.14-2.16
Bi  0.0000  0.5000  0.0000  6 O 2.14-2.16
O  0.0638  0.4356  0.2540  1 U 2.06, 1 Bi 2.16
O  0.0638  0.8098  0.6282  1 U 2.06, 1 Bi 2.16
O  0.0802  0.8302  0.2500  2 Bi 2.14
O  0.3069  0.5569  0.7500  2 U 2.12
O  0.3184  0.1902  0.7540  1 U 2.06, 1 Bi 2.16
O  0.3184  0.5644  0.1282  1 U 2.06, 1 Bi 2.16
O  0.6816  0.4356  0.8718  1 U 2.06, 1 Bi 2.16
O  0.6816  0.8098  0.2460  1 U 2.06, 1 Bi 2.16
O  0.6931  0.4431  0.2500  2 U 2.12
O  0.9198  0.1698  0.7500  2 Bi 2.14
O  0.9362  0.1902  0.3718  1 U 2.06, 1 Bi 2.16
O  0.9362  0.5644  0.7460  1 U 2.06, 1 Bi 2.16

Summary:
formation energy from raw total energies = -18.61 eV per formula unit